(1)
Compound: Ti2Ni2BRh4
Source: the Alexandria database
Functional: PBE
Structure: optimized geometry

Summary:
Calculated volume (Å³/cell): 117
Calculated total energy (eV/atom): -7.68
E_form (meV/atom): -635

POSCAR file:
```
Ti2Ni2BRh4
1.0
-3.7625 -3.7453 -1.1659
4.1693 -1.4813 3.1569
-1.4370 4.1275 3.2315
Ti Ni B Rh
2 2 1 4
Direct
0.5000 0.7500 0.2500 Ti
0.5000 0.2500 0.7500 Ti
0.0000 0.7394 0.7394 Ni
0.0000 0.2606 0.2606 Ni
0.0000 0.0000 0.0000 B
0.0000 0.7424 0.2576 Rh
0.4849 0.7424 0.7424 Rh
0.0000 0.2576 0.7424 Rh
0.5151 0.2576 0.2576 Rh
```

(2)
Compound: Sm2Ho2Co
Source: the Alexandria database
Functional: PBE
Structure: optimized geometry

Summary:
Calculated volume (Å³/cell): 283
Calculated total energy (eV/atom): -5.20
E_form (meV/atom): -58

POSCAR file:
```
Sm2Ho2Co
1.0
6.6014 -0.2912 -2.0902
-3.4476 5.6371 -2.0902
-0.1071 -0.1816 7.9558
Sm Ho Co
4 4 2
Direct
0.0113 0.5555 0.2455 Sm
0.9887 0.4445 0.7545 Sm
0.5555 0.0113 0.2455 Sm
0.4445 0.9887 0.7545 Sm
0.8440 0.8440 0.6149 Ho
0.6423 0.6423 0.8972 Ho
0.3577 0.3577 0.1028 Ho
0.1560 0.1560 0.3851 Ho
0.8847 0.1153 0.0000 Co
0.1153 0.8847 0.0000 Co
```

(3)
Compound: Pr6Ir2Br3F
Source: the Alexandria database
Functional: PBE
Structure: optimized geometry

Summary:
Calculated volume (Å³/cell): 354
Calculated total energy (eV/atom): -5.73
Formation energy without anion corrections (kJ/mol of formula units): -1496.9

POSCAR file:
```
Pr6Ir2Br3F
1.0
-0.1952 -6.9192 -2.1941
4.9050 2.2466 4.8603
-6.5347 -0.1538 4.9243
Pr Ir Br F
6 2 3 1
Direct
0.9325 0.5834 0.7995 Pr
0.7225 0.7225 0.1893 Pr
0.0675 0.4166 0.2005 Pr
0.5834 0.9325 0.7995 Pr
0.2775 0.2775 0.8107 Pr
0.4166 0.0675 0.2005 Pr
0.3328 0.6672 0.0000 Ir
0.6672 0.3328 0.0000 Ir
0.1680 0.8320 0.5000 Br
0.8320 0.1680 0.5000 Br
0.5000 0.5000 0.5000 Br
0.0000 0.0000 0.0000 F
```

(4)
Compound: Eu3Y
Source: the Alexandria database
Functional: PBE
Structure: optimized geometry

Summary:
Calculated volume (Å³/cell): 154
Calculated total energy (eV/atom): -9.21
E_form (meV/atom): 111

POSCAR file:
```
Eu3Y
1.0
-3.2192 -1.3670 4.8888
3.7885 -4.5002 1.2364
2.1096 5.5861 -0.7444
Eu Y
3 1
Direct
0.7500 0.2500 0.5000 Eu
0.2500 0.7500 0.5000 Eu
0.5000 0.5000 0.0000 Eu
0.0000 0.0000 0.0000 Y
```

(5)
Compound: LaTa2Se
Source: the Alexandria database
Functional: PBE
Structure: optimized geometry

Summary:
Calculated volume (Å³/cell): 88
Calculated total energy (eV/atom): -7.75
Formation energy without anion corrections (kJ/mol of formula units): 108.4

POSCAR file:
```
LaTa2Se
1.0
-0.0018 -3.0900 -1.6344
3.1721 0.6852 -1.2990
3.0247 -3.0559 5.7743
La Se Ta
1 1 2
Direct
0.5000 0.5000 0.2500 La
0.5000 0.5000 0.7500 Se
0.0000 0.0000 0.9329 Ta
0.0000 0.0000 0.5671 Ta
```

(6)
Compound: Sr2HfZrPd
Source: the Alexandria database
Functional: PBE
Structure: optimized geometry

Summary:
Calculated volume (Å³/cell): 176
Calculated total energy (eV/atom): -4.33
E_form (meV/atom): 1085

POSCAR file:
```
Sr2HfZrPd
1.0
-0.7462 -0.2443 5.8486
-3.7987 -3.2551 -0.6206
3.8068 -4.4992 0.2978
Sr Hf Zr Pd
2 1 1 1
Direct
0.0000 0.0000 0.5000 Sr
0.5000 0.0000 0.0000 Sr
0.0000 0.5000 0.0000 Hf
0.0000 0.0000 0.0000 Zr
0.5000 0.5000 0.5000 Pd
```

(7)
Compound: Y3Ag4SnS8
Source: the Alexandria database
Functional: PBE
Structure: optimized geometry

Summary:
Calculated volume (Å³/cell): 344
Calculated total energy (eV/atom): -5.26
Formation energy without anion corrections (kJ/mol of formula units): -1571.6

POSCAR file:
```
Y3Ag4SnS8
1.0
-7.1011 2.8249 2.4211
1.3160 -2.7710 7.0929
5.2361 4.8784 -3.6067
Y Ag Sn S
3 4 1 8
Direct
0.5000 0.5000 0.0000 Y
0.5000 0.5000 0.5000 Y
0.0000 0.5000 0.5000 Y
0.5000 0.0000 0.0000 Ag
0.5000 0.0000 0.5000 Ag
0.0000 0.0000 0.0000 Ag
0.0000 0.0000 0.5000 Ag
0.0000 0.5000 0.0000 Sn
0.2474 0.7437 0.9971 S
0.2475 0.7438 0.4949 S
0.2532 0.2603 0.5063 S
0.7497 0.7437 0.9971 S
0.2503 0.2563 0.0029 S
0.7468 0.7397 0.4937 S
0.7525 0.2562 0.5051 S
0.7526 0.2563 0.0029 S
```

(8)
Compound: ZnSnHg2
Source: the Alexandria database
Functional: PBE
Structure: optimized geometry

Summary:
Calculated volume (Å³/cell): 197
Calculated total energy (eV/atom): -1.35
E_form (meV/atom): 124

POSCAR file:
```
ZnSnHg2
1.0
-2.4716 2.4951 2.4300
-3.2403 -2.7399 -0.4824
0.3670 -5.4793 9.7523
Zn Hg Sn
2 4 2
Direct
0.5000 0.5000 0.0000 Zn
0.2500 0.7500 0.5000 Zn
0.6166 0.1250 0.2500 Hg
0.1334 0.6250 0.2500 Hg
0.3750 0.3834 0.7500 Hg
0.8750 0.8666 0.7500 Hg
0.0000 0.0000 0.0000 Sn
0.7500 0.2500 0.5000 Sn
```

(9)
Compound: LiHoLuIn
Source: the Alexandria database
Functional: PBE
Structure: optimized geometry

Summary:
Calculated volume (Å³/cell): 100
Calculated total energy (eV/atom): -3.69
E_form (meV/atom): -247

POSCAR file:
```
LiHoLuIn
1.0
5.2039 0.0000 0.0000
2.6019 4.5067 0.0000
2.6019 1.5022 4.2489
Lu Li Ho In
1 1 1 1
Direct
0.0000 0.0000 0.0000 Lu
0.7500 0.7500 0.7500 Li
0.5000 0.5000 0.5000 Ho
0.2500 0.2500 0.2500 In
```

(10)
Compound: Ca3La3ErS8
Source: the Alexandria database
Functional: PBE
Structure: optimized geometry

Summary:
Calculated volume (Å³/cell): 385
Calculated total energy (eV/atom): -6.01
Formation energy without anion corrections (kJ/mol of formula units): -3068.2

POSCAR file:
```
Ca3La3ErS8
1.0
-4.0372 -6.9195 1.6892
6.1907 2.4009 4.7901
-7.0322 4.1101 0.0302
Ca La Er S
3 3 1 8
Direct
0.0000 0.0000 0.0000 Ca
0.0000 0.5000 0.0000 Ca
0.5000 0.5000 0.0000 Ca
0.5000 0.0000 0.5000 La
0.5000 0.5000 0.5000 La
0.0000 0.5000 0.5000 La
0.0000 0.0000 0.5000 Er
0.2466 0.4931 0.2397 S
0.7534 0.5069 0.7603 S
0.7624 0.5248 0.2588 S
0.2376 0.4752 0.7412 S
0.7624 0.9964 0.2588 S
0.2376 0.0036 0.7412 S
0.2340 0.9964 0.2588 S
0.7660 0.0036 0.7412 S
```

(11)
Compound: La2NpGe3Pt4
Source: the Alexandria database
Functional: PBE
Structure: optimized geometry

Summary:
Calculated volume (Å³/cell): 213
Calculated total energy (eV/atom): -6.93
E_form (meV/atom): -849

POSCAR file:
```
La2NpGe3Pt4
1.0
-0.4258 -3.0433 3.1273
3.4623 1.6768 2.1032
-6.6976 6.7430 5.6499
La Np Ge Pt
2 1 3 4
Direct
0.5000 0.0000 0.2287 La
0.0000 0.5000 0.7713 La
0.5000 0.5000 0.5000 Np
0.0000 0.0000 0.5000 Ge
0.5000 0.0000 0.8806 Ge
0.0000 0.5000 0.1194 Ge
0.5000 0.5000 0.0000 Pt
0.0000 0.0000 0.0000 Pt
0.5000 0.0000 0.6558 Pt
0.0000 0.5000 0.3442 Pt
```

(12)
Compound: CaLaBe2
Source: the Alexandria database
Functional: PBE
Structure: optimized geometry

Summary:
Calculated volume (Å³/cell): 91
Calculated total energy (eV/atom): -3.31
E_form (meV/atom): 285

POSCAR file:
```
CaLaBe2
1.0
0.0000 3.5669 3.5669
3.5669 0.0000 3.5669
3.5669 3.5669 0.0000
Be Ca La
2 1 1
Direct
0.2500 0.2500 0.2500 Be
0.7500 0.7500 0.7500 Be
0.0000 0.0000 0.0000 Ca
0.5000 0.5000 0.5000 La
```